No. 1
MgCdSe2, optimized geometry, DFT PBE; energy relative to the elements, uncorrected = -3.67 eV per formula unit; symmetry = I-42d; calculated total energy = -3.287 eV per atom; ρ = 4.31 g/cm³
1.0
-3.0745 -4.5179 2.7102
1.3846 -3.7206 -4.6313
4.2441 -5.8403 1.9435
Mg Se Cd
2 4 2
direct
0.5000 0.5000 0.0000
0.2500 0.7500 0.5000
0.6123 0.1250 0.2500
0.1377 0.6250 0.2500
0.3750 0.3877 0.7500
0.8750 0.8623 0.7500
0.0000 0.0000 0.0000
0.7500 0.2500 0.5000



No. 2
MgCdSe, optimized geometry, DFT PBE; energy relative to the elements, uncorrected = -1.64 eV per formula unit; symmetry = P3m1; calculated total energy = -2.546 eV per atom; ρ = 4.84 g/cm³; energy relative to the lowest polymorph listed for this composition = 70 meV per atom
1.0
3.9005 0.0000 0.0000
-1.9502 3.3779 0.0000
0.0000 0.0000 5.6163
Cd Mg Se
1 1 1
direct
0.0000 0.0000 0.9821
0.3333 0.6667 0.3899
0.6667 0.3333 0.6280



No. 3
MgCdSe2, optimized geometry, DFT PBE; energy relative to the elements, uncorrected = -2.10 eV per formula unit; symmetry = Cmmm; calculated total energy = -2.894 eV per atom; ρ = 4.28 g/cm³
1.0
4.4265 -0.0427 0.0000
-2.7267 3.4873 0.0000
0.0000 0.0000 7.4661
Cd Mg Se
1 1 2
direct
0.5000 0.5000 0.2500
0.5000 0.5000 0.7500
0.0000 0.0000 0.9920
0.0000 0.0000 0.5080



Q: Which of these has the highest energy relative to the elements, uncorrected?
A: MgCdSe



Q: Among the records above, which one has the highest calculated total energy?
A: MgCdSe



Q: What is the formula in the first record?
A: MgCdSe2



Q: ρ of number 3 (MgCdSe2)?
A: 4.28 g/cm³